(1)
The following is a DFT calculation (PBE) of a geometry-optimized YTiCd4 structure.

Geometry as extended XYZ:
```
6
Lattice="0.000 4.071 4.071 4.071 0.000 4.071 4.071 4.071 0.000" Properties=species:S:1:pos:R:3 pbc="T T T"
Y 0.000 0.000 0.000
Ti 6.107 6.107 6.107
Cd 3.057 3.057 3.057
Cd 5.086 5.086 3.057
Cd 5.086 3.057 5.086
Cd 3.057 5.086 5.086
```

Output
E_form   -0.05 eV per atom
Symmetry   F-43m

(2)
The following is a DFT calculation (PBE) of a geometry-optimized CrNiPd2 structure.

Geometry as extended XYZ:
```
8
Lattice="-3.401 3.401 2.654 3.401 -3.401 2.654 3.401 3.401 -2.654" Properties=species:S:1:pos:R:3 pbc="T T T"
Cr 0.000 0.000 0.000
Cr 0.000 3.401 1.327
Ni 3.401 0.000 1.327
Ni 0.000 0.000 2.654
Pd 1.701 -1.651 1.991
Pd 1.750 1.701 0.664
Pd 1.701 5.053 -0.664
Pd 1.651 1.701 3.318
```

Output
E_form   0.40 eV per atom
Symmetry   I-42d

(3)
The following is a DFT calculation (PBE) of a geometry-optimized La12Y3Er structure.

Geometry as extended XYZ:
```
16
Lattice="5.212 0.000 0.000 0.000 5.212 0.000 0.000 0.000 20.835" Properties=species:S:1:pos:R:3 pbc="T T T"
La 0.000 0.000 0.000
La 0.000 0.000 5.189
La 0.000 0.000 10.418
La 0.000 0.000 15.646
La 0.000 2.606 2.582
La 0.000 2.606 7.805
La 0.000 2.606 13.030
La 0.000 2.606 18.253
La 2.606 0.000 2.582
La 2.606 0.000 7.805
La 2.606 0.000 13.030
La 2.606 0.000 18.253
Y 2.606 2.606 5.195
Y 2.606 2.606 10.418
Y 2.606 2.606 15.640
Er 2.606 2.606 0.000
```

Output
E_form   0.01 eV per atom
Symmetry   P4/mmm

(4)
The following is a DFT calculation (PBE) of a geometry-optimized CaZnGa2Os structure.

Geometry as extended XYZ:
```
5
Lattice="4.777 0.000 0.000 0.000 4.777 0.000 0.000 0.000 4.890" Properties=species:S:1:pos:R:3 pbc="T T T"
Ca 0.000 0.000 0.000
Zn 2.388 2.388 0.000
Ga 0.000 2.388 2.445
Ga 2.388 0.000 2.445
Os 2.388 2.388 2.445
```

Output
Distance to the lowest polymorph of the same formula   0.0 meV/atom
E_form   -0.19 eV per atom
Symmetry   P4/mmm

(5)
The following is a DFT calculation (PBE) of a geometry-optimized HoErTl structure.

Geometry as extended XYZ:
```
6
Lattice="5.374 0.000 0.000 -2.687 4.654 0.000 0.000 0.000 6.681" Properties=species:S:1:pos:R:3 pbc="T T T"
Ho 0.000 0.000 0.000
Ho 0.000 0.000 3.341
Er 0.000 3.103 1.670
Er 2.687 1.551 5.011
Tl 0.000 3.103 5.011
Tl 2.687 1.551 1.670
```

Output
Distance to the lowest polymorph of the same formula   0.0 meV/atom
E_form   -0.25 eV per atom
Symmetry   P6_3/mmc

(6)
The following is a DFT calculation (PBE) of a geometry-optimized ZrCuW2 structure.

Geometry as extended XYZ:
```
4
Lattice="0.000 3.207 3.207 3.207 0.000 3.207 3.207 3.207 0.000" Properties=species:S:1:pos:R:3 pbc="T T T"
Zr 0.000 0.000 0.000
Cu 3.207 3.207 3.207
W 1.604 1.604 1.604
W 4.811 4.811 4.811
```

Output
Distance to the lowest polymorph of the same formula   499.6 meV/atom
E_form   0.62 eV per atom
Symmetry   Fm-3m

(7)
The following is a DFT calculation (PBE) of a geometry-optimized SmTm5TlIn2 structure.

Geometry as extended XYZ:
```
18
Lattice="-4.241 4.241 7.080 4.241 -4.241 7.080 4.241 4.241 -7.080" Properties=species:S:1:pos:R:3 pbc="T T T"
Sm 4.241 0.000 3.540
Sm 0.000 4.241 3.540
Tm 0.000 0.000 0.000
Tm 6.025 1.784 -1.897
Tm 1.784 2.458 -1.897
Tm 6.025 1.784 1.897
Tm 1.784 2.458 1.897
Tm 0.000 0.000 7.080
Tm 2.458 1.784 5.182
Tm -1.784 2.458 5.182
Tm 2.458 1.784 8.977
Tm -1.784 2.458 8.977
Tl 0.000 0.000 3.540
Tl 0.000 0.000 10.620
In 3.300 0.941 0.000
In 3.300 -0.941 7.080
In 0.941 5.182 0.000
In 0.941 3.300 7.080
```

Output
E_form   -0.01 eV per atom
Symmetry   I4/mcm

(8)
The following is a DFT calculation (PBE) of a geometry-optimized Sc2GaHg structure.

Geometry as extended XYZ:
```
4
Lattice="1.702 0.983 8.747 -1.702 0.983 8.747 0.000 -1.966 8.747" Properties=species:S:1:pos:R:3 pbc="T T T"
Sc 0.000 0.000 6.434
Sc 0.000 0.000 19.807
Ga 0.000 0.000 13.120
Hg 0.000 0.000 0.000
```

Output
E_form   -0.38 eV per atom
Symmetry   R-3m

(9)
The following is a DFT calculation (PBE) of a geometry-optimized Rb3BaP structure.

Geometry as extended XYZ:
```
5
Lattice="8.292 0.000 0.000 0.000 8.292 0.000 0.000 0.000 8.292" Properties=species:S:1:pos:R:3 pbc="T T T"
Rb 0.000 0.000 4.146
Rb 0.000 4.146 0.000
Rb 4.146 0.000 0.000
Ba 0.000 0.000 0.000
P 4.146 4.146 4.146
```

Output
Distance to the lowest polymorph of the same formula   858.8 meV/atom
E_form   1.01 eV per atom
Symmetry   Pm-3m

(10)
The following is a DFT calculation (PBE) of a geometry-optimized ZnAgSn2N structure.

Geometry as extended XYZ:
```
5
Lattice="5.103 0.000 0.000 0.000 5.103 0.000 0.000 0.000 4.766" Properties=species:S:1:pos:R:3 pbc="T T T"
Zn 0.000 0.000 0.000
Ag 0.000 0.000 2.383
Sn 0.000 2.551 0.000
Sn 2.551 0.000 0.000
N 2.551 2.551 2.383
```

Output
Symmetry   P4/mmm

(11)
The following is a DFT calculation (PBE) of a geometry-optimized KHg2As structure.

Geometry as extended XYZ:
```
4
Lattice="1.788 1.032 10.130 -1.788 1.032 10.130 0.000 -2.065 10.130" Properties=species:S:1:pos:R:3 pbc="T T T"
K 0.000 0.000 0.000
Hg 0.000 0.000 7.382
Hg 0.000 0.000 23.007
As 0.000 0.000 15.195
```

Output
E_form   0.17 eV per atom
Symmetry   R-3m

(12)
The following is a DFT calculation (PBE) of a geometry-optimized Sn2TeMo structure.

Geometry as extended XYZ:
```
8
Lattice="-3.235 3.235 6.729 3.235 -3.235 6.729 3.235 3.235 -6.729" Properties=species:S:1:pos:R:3 pbc="T T T"
Sn 4.853 1.325 -1.682
Sn 1.325 1.618 1.682
Sn -1.618 1.910 5.047
Sn 1.910 1.618 8.412
Te 3.235 0.000 3.365
Te 0.000 0.000 6.729
Mo 0.000 0.000 0.000
Mo 0.000 3.235 3.365
```

Output
Distance to the lowest polymorph of the same formula   35.1 meV/atom
Symmetry   I-42d

(13)
The following is a DFT calculation (PBE) of a geometry-optimized CaY2PtN structure.

Geometry as extended XYZ:
```
5
Lattice="4.722 0.000 0.000 0.000 4.722 0.000 0.000 0.000 4.735" Properties=species:S:1:pos:R:3 pbc="T T T"
Ca 0.000 0.000 0.000
Y 0.000 2.361 2.367
Y 2.361 0.000 2.367
Pt 2.361 2.361 0.000
N 0.000 0.000 2.367
```

Output
Symmetry   P4/mmm

(14)
The following is a DFT calculation (PBE) of a geometry-optimized KIr structure.

Geometry as extended XYZ:
```
2
Lattice="1.415 0.817 5.586 -1.415 0.817 5.586 0.000 -1.634 5.586" Properties=species:S:1:pos:R:3 pbc="T T T"
K 0.000 0.000 0.000
Ir 0.000 0.000 8.379
```

Output
Distance to the lowest polymorph of the same formula   448.7 meV/atom
E_form   0.81 eV per atom
Symmetry   R-3m

The total energy results, record by record, are as follows: -18.34, -48.42, -82.97, -21.50, -24.52, -36.06, -70.11, -17.50, -5.18, -13.34, -5.69, -37.88, -34.13, -8.33 eV per cell.